## 1
The following is a DFT calculation (PBE-GGA) of a relaxed structure of Nd4N3O.

Cell lengths 5.1343, 5.1343, 5.1343 Å; angles 90.00, 90.00, 90.00 degrees
Last column: nearest neighbours and their distance in Å.
Fractional positions:
Nd 0.0000 0.0000 0.0000  6 N 2.57
Nd 0.0000 0.5000 0.5000  2 O 2.57, 4 N 2.57
Nd 0.5000 0.0000 0.5000  2 O 2.57, 4 N 2.57
Nd 0.5000 0.5000 0.0000  2 O 2.57, 4 N 2.57
N 0.0000 0.0000 0.5000  6 Nd 2.57
N 0.0000 0.5000 0.0000  6 Nd 2.57
N 0.5000 0.0000 0.0000  6 Nd 2.57
O 0.5000 0.5000 0.5000  6 Nd 2.57

Computed properties:
size of the total moment	0.00	Bohr magnetons per cell


## 2
The following is a DFT calculation (PBE-GGA) of a relaxed structure of Nd4N3O.

Cell lengths 6.2848, 6.2848, 3.6303 Å; angles 90.00, 90.00, 109.37 degrees
Last column: nearest neighbours and their distance in Å.
Fractional positions:
Nd 0.2451 0.2451 0.5000  4 N 2.54-2.56, 2 O 2.59
Nd 0.2483 0.7517 0.0000  5 N 2.55-2.57, 1 O 2.58
Nd 0.7517 0.2483 0.0000  5 N 2.55-2.57, 1 O 2.58
Nd 0.7549 0.7549 0.5000  4 N 2.54-2.56, 2 O 2.59
N 0.0000 0.0000 0.0000  6 Nd 2.54-2.55
N 0.0000 0.5000 0.5000  6 Nd 2.56-2.57
N 0.5000 0.0000 0.5000  6 Nd 2.56-2.57
O 0.5000 0.5000 0.0000  6 Nd 2.58-2.59

Computed properties:
size of the total moment	0.00	Bohr magnetons per cell


Energies relative to the most stable structure, in eV/atom: 1 0.024; 2 0.000.


## 1
The following is a DFT calculation (PBE-GGA) of a relaxed structure of NdNO.

Cell lengths 8.5442, 8.5442, 8.5442 Å; angles 157.48, 157.48, 32.06 degrees
Last column: nearest neighbours and their distance in Å.
Fractional positions:
Nd 0.1576 0.1576 0.0000  5 O 2.38-2.45
Nd 0.8424 0.8424 0.0000  5 O 2.38-2.45
N 0.4635 0.4635 0.0000  1 N 1.20
N 0.5365 0.5365 0.0000  1 N 1.20
O 0.3023 0.3023 0.0000  5 Nd 2.38-2.45, 1 N 2.65
O 0.6977 0.6977 0.0000  5 Nd 2.38-2.45, 1 N 2.65

Computed properties:
size of the total moment	0.22	Bohr magnetons per cell


## 2
The following is a DFT calculation (PBE-GGA) of a relaxed structure of NdNO.

Cell lengths 3.6083, 3.6083, 9.0518 Å; angles 90.00, 90.00, 120.00 degrees
Last column: nearest neighbours and their distance in Å.
Fractional positions:
Nd 0.0000 0.0000 0.2163  3 O 2.26
Nd 0.0000 0.0000 0.7837  3 O 2.26
N 0.3333 0.6667 0.9821  3 N 2.11
N 0.6667 0.3333 0.0179  3 N 2.11
O 0.3333 0.6667 0.3122  3 Nd 2.26
O 0.6667 0.3333 0.6878  3 Nd 2.26

Computed properties:
size of the total moment	0.00	Bohr magnetons per cell


Energies relative to the most stable structure, in eV/atom: 1 0.000; 2 0.548.